VASP calculation (PBE) on a relaxed Cs2Rb8Ag crystal.

For the density, the calculation gives 1.8 g/cm³. As for the energy of formation: 0.032 eV per atom.

The structure belongs to space group C2/m (No. 12); the cell edges are 24.2043, 9.9536 and 8.4722 Å and the angles 90.00°, 108.67° and 90.00°. The inequivalent atoms are Cs at (0.1411, 0.0000, 0.4043), Rb at (0.0589, 0.2505, 0.8119), Rb at (0.1312, 0.5000, 0.3820), Rb at (0.2462, 0.5000, 0.9909) and Ag at (0.0000, 0.0000, 0.5000).